Computed, not measured: a geometry-optimized PmSm4 structure at the GGA-PBE level of DFT.

a = 3.633 Å, b = 3.633 Å, c = 13.112 Å
α = 97.96°, β = 97.96°, γ = 90.00°
Positions (direct):
Pm: 0.000 0.000 0.000
Sm: 0.600 0.600 0.200
Sm: 0.200 0.200 0.400
Sm: 0.800 0.800 0.600
Sm: 0.400 0.400 0.800

Output
Spin magnetization = 0.00 μB/f.u.
DFT total energy = -4.710 eV/atom
E above lowest polymorph = 4 meV per atom

=====

Computed, not measured: a geometry-optimized Pm5Sm2 structure at the GGA-PBE level of DFT.

a = 5.806 Å, b = 5.806 Å, c = 8.903 Å
α = 70.97°, β = 70.97°, γ = 60.00°
Last column: magnetic moment on the atom in μB.
Positions (direct):
Pm: 0.071 0.071 0.786  0.11
Pm: 0.785 0.785 0.644  0.12
Pm: 0.500 0.500 0.500  0.11
Pm: 0.215 0.215 0.356  0.12
Pm: 0.929 0.929 0.214  0.11
Sm: 0.643 0.643 0.071  0.11
Sm: 0.357 0.357 0.929  0.11

Output
Spin magnetization = 1.47 μB/f.u.
DFT total energy = -4.600 eV/atom
E above lowest polymorph = 34 meV per atom

=====

Computed, not measured: a geometry-optimized Pm3Sm13 structure at the GGA-PBE level of DFT.

a = 7.347 Å, b = 8.642 Å, c = 8.642 Å
α = 94.78°, β = 90.00°, γ = 90.00°
Positions (direct):
Pm: 0.750 0.041 0.959
Pm: 0.000 0.292 0.708
Pm: 0.250 0.041 0.959
Sm: 0.750 0.958 0.541
Sm: 0.750 0.542 0.458
Sm: 0.750 0.459 0.042
Sm: 0.000 0.708 0.791
Sm: 0.000 0.209 0.292
Sm: 0.000 0.791 0.209
Sm: 0.250 0.958 0.541
Sm: 0.250 0.542 0.458
Sm: 0.250 0.459 0.042
Sm: 0.500 0.292 0.708
Sm: 0.500 0.708 0.791
Sm: 0.500 0.209 0.292
Sm: 0.500 0.791 0.209

Output
Spin magnetization = 0.00 μB/f.u.
DFT total energy = -4.696 eV/atom
E above lowest polymorph = 14 meV per atom